A geometry-optimized BaSr2Tl structure. Source: the Alexandria database, functional GGA-PBEsol.

As for the density: 4.8 g cm⁻³. The calculation puts the electronic total energy at -0.08649 Ha/atom. The value obtained for the magnetization is 0.00 μB per formula unit. The energy above the lowest structure with this stoichiometry comes out at 0.0 kJ per mole of atoms. Its energy of formation is -0.95 eV/f.u.

It has space group P4mm (No. 99), with a = 4.131 Å, b = 4.131 Å, c = 10.374 Å, α = 90.00°, β = 90.00° and γ = 90.00°. Symmetry generates all atoms from Ba at (0.000, 0.000, 0.000), Sr at (0.000, 0.000, 0.621), Sr at (0.500, 0.500, 0.322) and Tl at (0.500, 0.500, 0.795).